No. 1
# Ce2NiGe6Rh (PBE, relaxed)
data_Ce2NiGe6Rh
_chemical_formula_sum 'Ce12 Ni6 Ge36 Rh6'
_cell_length_a 6.1176
_cell_length_b 6.1176
_cell_length_c 36.4465
_cell_angle_alpha 90.00
_cell_angle_beta 90.00
_cell_angle_gamma 120.00
_space_group_name_H-M_alt 'R -3 m'
_space_group_IT_number 166
_space_group_name_Hall '-R 3 2"'
loop_
_atom_site_label
_atom_site_type_symbol
_atom_site_fract_x
_atom_site_fract_y
_atom_site_fract_z
Ce1 Ce 0.0000 0.0000 0.1087
Ce2 Ce 0.0000 0.0000 0.2962
Ni1 Ni 0.0000 0.0000 0.0000
Ni2 Ni 0.0000 0.0000 0.5000
Ge1 Ge 0.0371 0.5185 0.2937
Ge2 Ge 0.0581 0.5291 0.8687
Rh1 Rh 0.0000 0.0000 0.4285
# DOS at the Fermi energy in states/eV/atom: 1.237
# Energy of formation in eV/atom: -0.4448

=====

No. 2
# Ce2NiGe3Rh4 (PBE, relaxed)
data_Ce2NiGe3Rh4
_chemical_formula_sum 'Ce2 Ni1 Ge3 Rh4'
_cell_length_a 4.1343
_cell_length_b 4.1343
_cell_length_c 10.4760
_cell_angle_alpha 90.00
_cell_angle_beta 90.00
_cell_angle_gamma 90.00
_space_group_name_H-M_alt 'P -4 m 2'
_space_group_IT_number 115
loop_
_space_group_symop_operation_xyz
'x,y,z'
'y,-x,-z'
'-x,-y,z'
'-y,x,-z'
'-x,y,z'
'-y,-x,-z'
'x,-y,z'
'y,x,-z'
loop_
_atom_site_label
_atom_site_type_symbol
_atom_site_fract_x
_atom_site_fract_y
_atom_site_fract_z
Ce1 Ce 0.0000 0.5000 0.2380
Ni1 Ni 0.5000 0.5000 0.0000
Ge1 Ge 0.0000 0.0000 0.0000
Ge2 Ge 0.0000 0.5000 0.6293
Rh1 Rh 0.0000 0.0000 0.5000
Rh2 Rh 0.0000 0.5000 0.8626
Rh3 Rh 0.5000 0.5000 0.5000
# DOS at the Fermi energy in states/eV/atom: 1.079
# Energy of formation in eV/atom: -0.7651

=====

No. 3
# Ce2NiGe4Rh3 (PBE, relaxed)
data_Ce2NiGe4Rh3
_chemical_formula_sum 'Ce2 Ni1 Ge4 Rh3'
_cell_length_a 4.2434
_cell_length_b 4.2434
_cell_length_c 10.0323
_cell_angle_alpha 90.00
_cell_angle_beta 90.00
_cell_angle_gamma 90.00
_space_group_name_H-M_alt 'P -4 m 2'
_space_group_IT_number 115
loop_
_space_group_symop_operation_xyz
'x,y,z'
'y,-x,-z'
'-x,-y,z'
'-y,x,-z'
'-x,y,z'
'-y,-x,-z'
'x,-y,z'
'y,x,-z'
loop_
_atom_site_label
_atom_site_type_symbol
_atom_site_fract_x
_atom_site_fract_y
_atom_site_fract_z
Ce1 Ce 0.0000 0.5000 0.2479
Ni1 Ni 0.0000 0.0000 0.5000
Ge1 Ge 0.0000 0.0000 0.0000
Ge2 Ge 0.0000 0.5000 0.6259
Ge3 Ge 0.5000 0.5000 0.0000
Rh1 Rh 0.0000 0.5000 0.8698
Rh2 Rh 0.5000 0.5000 0.5000
# DOS at the Fermi energy in states/eV/atom: 1.193
# Energy of formation in eV/atom: -0.7799

=====

No. 4
# CeNiGe2Rh (PBE, relaxed)
data_CeNiGe2Rh
_chemical_formula_sum 'Ce2 Ni2 Ge4 Rh2'
_cell_length_a 4.1397
_cell_length_b 4.1397
_cell_length_c 10.2924
_cell_angle_alpha 90.00
_cell_angle_beta 90.00
_cell_angle_gamma 90.00
_space_group_name_H-M_alt 'I -4 m 2'
_space_group_IT_number 119
_space_group_name_Hall 'I -4 -2'
loop_
_atom_site_label
_atom_site_type_symbol
_atom_site_fract_x
_atom_site_fract_y
_atom_site_fract_z
Ce1 Ce 0.0000 0.0000 0.0000
Ni1 Ni 0.0000 0.5000 0.2500
Ge1 Ge 0.0000 0.0000 0.3763
Rh1 Rh 0.0000 0.5000 0.7500
# DOS at the Fermi energy in states/eV/atom: 1.585
# Energy of formation in eV/atom: -0.7133

=====

No. 5
# Ce3Ni2Ge6Ru (PBE, relaxed)
data_Ce3Ni2Ge6Ru
_chemical_formula_sum 'Ce3 Ni2 Ge6 Ru1'
_cell_length_a 6.0963
_cell_length_b 6.0963
_cell_length_c 7.3978
_cell_angle_alpha 90.00
_cell_angle_beta 90.00
_cell_angle_gamma 120.00
_space_group_name_H-M_alt 'P -3 m 1'
_space_group_IT_number 164
_space_group_name_Hall '-P 3 2"'
loop_
_atom_site_label
_atom_site_type_symbol
_atom_site_fract_x
_atom_site_fract_y
_atom_site_fract_z
Ce1 Ce 0.0000 0.0000 0.0000
Ce2 Ce 0.3333 0.6667 0.6690
Ni1 Ni 0.3333 0.6667 0.0344
Ge1 Ge 0.1903 0.3805 0.2982
Ru1 Ru 0.0000 0.0000 0.5000
# DOS at the Fermi energy in states/eV/atom: 1.355
# Energy of formation in eV/atom: -0.3191

=====

No. 6
# CeNi2Ge2Ru (PBE, relaxed)
data_CeNi2Ge2Ru
_chemical_formula_sum 'Ce1 Ni2 Ge2 Ru1'
_cell_length_a 4.7271
_cell_length_b 4.7271
_cell_length_c 5.0703
_cell_angle_alpha 90.00
_cell_angle_beta 90.00
_cell_angle_gamma 90.00
_space_group_name_H-M_alt 'P 4/m m m'
_space_group_IT_number 123
_space_group_name_Hall '-P 4 2'
loop_
_atom_site_label
_atom_site_type_symbol
_atom_site_fract_x
_atom_site_fract_y
_atom_site_fract_z
Ce1 Ce 0.0000 0.0000 0.0000
Ni1 Ni 0.5000 0.5000 0.2475
Ge1 Ge 0.0000 0.5000 0.5000
Ru1 Ru 0.0000 0.0000 0.5000
# DOS at the Fermi energy in states/eV/atom: 0.952
# Energy of formation in eV/atom: -0.0467

=====

No. 7
# CeNiGeRu (PBE, relaxed)
data_CeNiGeRu
_chemical_formula_sum 'Ce2 Ni2 Ge2 Ru2'
_cell_length_a 4.4265
_cell_length_b 3.7569
_cell_length_c 8.9078
_cell_angle_alpha 90.00
_cell_angle_beta 90.00
_cell_angle_gamma 90.00
_space_group_name_H-M_alt 'A m m 2'
_space_group_IT_number 38
loop_
_space_group_symop_operation_xyz
'x,y,z'
'-x,-y,z'
'-x,y,z'
'x,-y,z'
'x,y+1/2,z+1/2'
'-x,-y+1/2,z+1/2'
'-x,y+1/2,z+1/2'
'x,-y+1/2,z+1/2'
loop_
_atom_site_label
_atom_site_type_symbol
_atom_site_fract_x
_atom_site_fract_y
_atom_site_fract_z
Ce1 Ce 0.0000 0.0000 0.0000
Ni1 Ni 0.5000 0.0000 0.7096
Ge1 Ge 0.5000 0.0000 0.3882
Ru1 Ru 0.0000 0.0000 0.2584
# DOS at the Fermi energy in states/eV/atom: 0.460
# Energy of formation in eV/atom: -0.3488

=====

No. 8
# Ce2NiGeS5 (PBE, relaxed)
data_Ce2NiGeS5
_chemical_formula_sum 'Ce8 Ni4 Ge4 S20'
_cell_length_a 3.9200
_cell_length_b 16.8887
_cell_length_c 11.2734
_cell_angle_alpha 90.00
_cell_angle_beta 90.00
_cell_angle_gamma 90.00
_space_group_name_H-M_alt 'C m c 21'
_space_group_IT_number 36
loop_
_space_group_symop_operation_xyz
'x,y,z'
'-x,-y,z+1/2'
'-x,y,z'
'x,-y,z+1/2'
'x+1/2,y+1/2,z'
'-x+1/2,-y+1/2,z+1/2'
'-x+1/2,y+1/2,z'
'x+1/2,-y+1/2,z+1/2'
loop_
_atom_site_label
_atom_site_type_symbol
_atom_site_fract_x
_atom_site_fract_y
_atom_site_fract_z
Ce1 Ce 0.0000 0.1159 0.0000
Ce2 Ce 0.0000 0.1226 0.6251
Ni1 Ni 0.0000 0.2538 0.4506
Ge1 Ge 0.0000 0.4056 0.7992
S1 S 0.0000 0.0370 0.3941
S2 S 0.0000 0.3019 0.6404
S3 S 0.0000 0.3062 0.9664
S4 S 0.0000 0.3542 0.3190
S5 S 0.0000 0.4930 0.6168
# DOS at the Fermi energy in states/eV/atom: 1.215
# ΔE_f (raw) in meV per atom: -1226

=====

No. 9
# Ce2Ni4GeSb3 (PBE, relaxed)
data_Ce2Ni4GeSb3
_chemical_formula_sum 'Ce2 Ni4 Ge1 Sb3'
_cell_length_a 4.3948
_cell_length_b 4.3948
_cell_length_c 9.8533
_cell_angle_alpha 90.00
_cell_angle_beta 90.00
_cell_angle_gamma 90.00
_space_group_name_H-M_alt 'P -4 m 2'
_space_group_IT_number 115
loop_
_space_group_symop_operation_xyz
'x,y,z'
'y,-x,-z'
'-x,-y,z'
'-y,x,-z'
'-x,y,z'
'-y,-x,-z'
'x,-y,z'
'y,x,-z'
loop_
_atom_site_label
_atom_site_type_symbol
_atom_site_fract_x
_atom_site_fract_y
_atom_site_fract_z
Ce1 Ce 0.0000 0.5000 0.2484
Ni1 Ni 0.0000 0.0000 0.0000
Ni2 Ni 0.0000 0.5000 0.6163
Ni3 Ni 0.5000 0.5000 0.0000
Ge1 Ge 0.0000 0.0000 0.5000
Sb1 Sb 0.0000 0.5000 0.8687
Sb2 Sb 0.5000 0.5000 0.5000
# DOS at the Fermi energy in states/eV/atom: 1.215
# ΔE_f (raw) in meV per atom: -650

=====

No. 10
# Ce2Ni4Ge3Sb (PBE, relaxed)
data_Ce2Ni4Ge3Sb
_chemical_formula_sum 'Ce2 Ni4 Ge3 Sb1'
_cell_length_a 4.2365
_cell_length_b 4.2365
_cell_length_c 9.6828
_cell_angle_alpha 90.00
_cell_angle_beta 90.00
_cell_angle_gamma 90.00
_space_group_name_H-M_alt 'P -4 m 2'
_space_group_IT_number 115
loop_
_space_group_symop_operation_xyz
'x,y,z'
'y,-x,-z'
'-x,-y,z'
'-y,x,-z'
'-x,y,z'
'-y,-x,-z'
'x,-y,z'
'y,x,-z'
loop_
_atom_site_label
_atom_site_type_symbol
_atom_site_fract_x
_atom_site_fract_y
_atom_site_fract_z
Ce1 Ce 0.0000 0.5000 0.2327
Ni1 Ni 0.0000 0.0000 0.0000
Ni2 Ni 0.0000 0.5000 0.6341
Ni3 Ni 0.5000 0.5000 0.0000
Ge1 Ge 0.0000 0.5000 0.8765
Ge2 Ge 0.5000 0.5000 0.5000
Sb1 Sb 0.0000 0.0000 0.5000
# DOS at the Fermi energy in states/eV/atom: 0.852
# ΔE_f (raw) in meV per atom: -646

=====

No. 11
# Ce2ScNi3Ge4 (PBE, relaxed)
data_Ce2ScNi3Ge4
_chemical_formula_sum 'Ce2 Sc1 Ni3 Ge4'
_cell_length_a 4.1534
_cell_length_b 4.1534
_cell_length_c 10.4499
_cell_angle_alpha 90.00
_cell_angle_beta 90.00
_cell_angle_gamma 90.00
_space_group_name_H-M_alt 'P -4 m 2'
_space_group_IT_number 115
loop_
_space_group_symop_operation_xyz
'x,y,z'
'y,-x,-z'
'-x,-y,z'
'-y,x,-z'
'-x,y,z'
'-y,-x,-z'
'x,-y,z'
'y,x,-z'
loop_
_atom_site_label
_atom_site_type_symbol
_atom_site_fract_x
_atom_site_fract_y
_atom_site_fract_z
Ce1 Ce 0.0000 0.5000 0.2302
Sc1 Sc 0.0000 0.0000 0.5000
Ni1 Ni 0.0000 0.5000 0.8852
Ni2 Ni 0.5000 0.5000 0.5000
Ge1 Ge 0.0000 0.0000 0.0000
Ge2 Ge 0.0000 0.5000 0.6586
Ge3 Ge 0.5000 0.5000 0.0000
# DOS at the Fermi energy in states/eV/atom: 0.895
# Energy of formation in eV/atom: -0.6963

=====

No. 12
# Ce2SiNi6Ge (PBE, relaxed)
data_Ce2SiNi6Ge
_chemical_formula_sum 'Ce12 Si6 Ni36 Ge6'
_cell_length_a 5.9771
_cell_length_b 5.9771
_cell_length_c 31.4874
_cell_angle_alpha 90.00
_cell_angle_beta 90.00
_cell_angle_gamma 120.00
_space_group_name_H-M_alt 'R -3 m'
_space_group_IT_number 166
_space_group_name_Hall '-R 3 2"'
loop_
_atom_site_label
_atom_site_type_symbol
_atom_site_fract_x
_atom_site_fract_y
_atom_site_fract_z
Ce1 Ce 0.0000 0.0000 0.1353
Ce2 Ce 0.0000 0.0000 0.2994
Si1 Si 0.0000 0.0000 0.0000
Si2 Si 0.0000 0.0000 0.5000
Ni1 Ni 0.0578 0.5289 0.8822
Ni2 Ni 0.0693 0.5346 0.7235
Ge1 Ge 0.0000 0.0000 0.4122
# DOS at the Fermi energy in states/eV/atom: 1.204
# ΔE_f (raw) in meV per atom: -326

=====

No. 13
# Ce2Si3Ni12Ge (PBE, relaxed)
data_Ce2Si3Ni12Ge
_chemical_formula_sum 'Ce6 Si9 Ni36 Ge3'
_cell_length_a 8.3380
_cell_length_b 8.3380
_cell_length_c 12.1250
_cell_angle_alpha 90.00
_cell_angle_beta 90.00
_cell_angle_gamma 120.00
_space_group_name_H-M_alt 'R -3 m'
_space_group_IT_number 166
_space_group_name_Hall '-R 3 2"'
loop_
_atom_site_label
_atom_site_type_symbol
_atom_site_fract_x
_atom_site_fract_y
_atom_site_fract_z
Ce1 Ce 0.0000 0.0000 0.1518
Si1 Si 0.0000 0.5000 0.0000
Ni1 Ni 0.0065 0.5033 0.1946
Ni2 Ni 0.0184 0.5092 0.3933
Ge1 Ge 0.0000 0.0000 0.5000
# DOS at the Fermi energy in states/eV/atom: 0.469
# ΔE_f (raw) in meV per atom: -211

=====

No. 14
# Ce2SiNi4Ge3 (PBE, relaxed)
data_Ce2SiNi4Ge3
_chemical_formula_sum 'Ce2 Si1 Ni4 Ge3'
_cell_length_a 4.1208
_cell_length_b 4.1208
_cell_length_c 9.5545
_cell_angle_alpha 90.00
_cell_angle_beta 90.00
_cell_angle_gamma 90.00
_space_group_name_H-M_alt 'P -4 m 2'
_space_group_IT_number 115
loop_
_space_group_symop_operation_xyz
'x,y,z'
'y,-x,-z'
'-x,-y,z'
'-y,x,-z'
'-x,y,z'
'-y,-x,-z'
'x,-y,z'
'y,x,-z'
loop_
_atom_site_label
_atom_site_type_symbol
_atom_site_fract_x
_atom_site_fract_y
_atom_site_fract_z
Ce1 Ce 0.0000 0.5000 0.2487
Si1 Si 0.0000 0.0000 0.5000
Ni1 Ni 0.0000 0.0000 0.0000
Ni2 Ni 0.0000 0.5000 0.6203
Ni3 Ni 0.5000 0.5000 0.0000
Ge1 Ge 0.0000 0.5000 0.8691
Ge2 Ge 0.5000 0.5000 0.5000
# DOS at the Fermi energy in states/eV/atom: 0.869
# ΔE_f (raw) in meV per atom: -722

=====

No. 15
# CeSmNi2Ge2 (PBE, relaxed)
data_CeSmNi2Ge2
_chemical_formula_sum 'Ce1 Sm1 Ni2 Ge2'
_cell_length_a 4.1738
_cell_length_b 4.1738
_cell_length_c 7.7952
_cell_angle_alpha 90.00
_cell_angle_beta 90.00
_cell_angle_gamma 120.00
_space_group_name_H-M_alt 'P -3 m 1'
_space_group_IT_number 164
_space_group_name_Hall '-P 3 2"'
loop_
_atom_site_label
_atom_site_type_symbol
_atom_site_fract_x
_atom_site_fract_y
_atom_site_fract_z
Ce1 Ce 0.0000 0.0000 0.0000
Sm1 Sm 0.0000 0.0000 0.5000
Ni1 Ni 0.3333 0.6667 0.7544
Ge1 Ge 0.3333 0.6667 0.2471
# DOS at the Fermi energy in states/eV/atom: 1.441
# Energy of formation in eV/atom: -0.7298

=====

No. 16
# CeNi5SnGe2 (PBE, relaxed)
data_CeNi5SnGe2
_chemical_formula_sum 'Ce1 Ni5 Sn1 Ge2'
_cell_length_a 3.7378
_cell_length_b 3.7378
_cell_length_c 11.0627
_cell_angle_alpha 90.00
_cell_angle_beta 90.00
_cell_angle_gamma 90.00
_space_group_name_H-M_alt 'P 4/m m m'
_space_group_IT_number 123
_space_group_name_Hall '-P 4 2'
loop_
_atom_site_label
_atom_site_type_symbol
_atom_site_fract_x
_atom_site_fract_y
_atom_site_fract_z
Ce1 Ce 0.0000 0.0000 0.0000
Ni1 Ni 0.0000 0.5000 0.3340
Ni2 Ni 0.5000 0.5000 0.0000
Sn1 Sn 0.0000 0.0000 0.5000
Ge1 Ge 0.5000 0.5000 0.2076
# DOS at the Fermi energy in states/eV/atom: 0.980
# Energy of formation in eV/atom: -0.2048

=====

No. 17
# Ce2Ni4SnGe3 (PBE, relaxed)
data_Ce2Ni4SnGe3
_chemical_formula_sum 'Ce2 Ni4 Sn1 Ge3'
_cell_length_a 4.1885
_cell_length_b 4.1885
_cell_length_c 9.8790
_cell_angle_alpha 90.00
_cell_angle_beta 90.00
_cell_angle_gamma 90.00
_space_group_name_H-M_alt 'P -4 m 2'
_space_group_IT_number 115
loop_
_space_group_symop_operation_xyz
'x,y,z'
'y,-x,-z'
'-x,-y,z'
'-y,x,-z'
'-x,y,z'
'-y,-x,-z'
'x,-y,z'
'y,x,-z'
loop_
_atom_site_label
_atom_site_type_symbol
_atom_site_fract_x
_atom_site_fract_y
_atom_site_fract_z
Ce1 Ce 0.0000 0.5000 0.2330
Ni1 Ni 0.0000 0.0000 0.0000
Ni2 Ni 0.0000 0.5000 0.6403
Ni3 Ni 0.5000 0.5000 0.0000
Sn1 Sn 0.0000 0.0000 0.5000
Ge1 Ge 0.0000 0.5000 0.8770
Ge2 Ge 0.5000 0.5000 0.5000
# DOS at the Fermi energy in states/eV/atom: 0.915
# Energy of formation in eV/atom: -0.6323

=====

No. 18
# TbCeNi2Ge2 (PBE, relaxed)
data_TbCeNi2Ge2
_chemical_formula_sum 'Tb1 Ce1 Ni2 Ge2'
_cell_length_a 4.1779
_cell_length_b 4.1779
_cell_length_c 7.5923
_cell_angle_alpha 90.00
_cell_angle_beta 90.00
_cell_angle_gamma 120.00
_space_group_name_H-M_alt 'P -3 m 1'
_space_group_IT_number 164
_space_group_name_Hall '-P 3 2"'
loop_
_atom_site_label
_atom_site_type_symbol
_atom_site_fract_x
_atom_site_fract_y
_atom_site_fract_z
Tb1 Tb 0.0000 0.0000 0.0000
Ce1 Ce 0.0000 0.0000 0.5000
Ni1 Ni 0.3333 0.6667 0.2438
Ge1 Ge 0.3333 0.6667 0.7521
# DOS at the Fermi energy in states/eV/atom: 1.480
# Energy of formation in eV/atom: -0.7448

=====

No. 19
# Ce2TcNiGe6 (PBE, relaxed)
data_Ce2TcNiGe6
_chemical_formula_sum 'Ce4 Tc2 Ni2 Ge12'
_cell_length_a 6.4557
_cell_length_b 8.7801
_cell_length_c 7.0199
_cell_angle_alpha 90.00
_cell_angle_beta 90.00
_cell_angle_gamma 90.00
_space_group_name_H-M_alt 'P m m n'
_space_group_IT_number 59
loop_
_space_group_symop_operation_xyz
'x,y,z'
'-x,-y,-z'
'-x+1/2,-y+1/2,z'
'x+1/2,y+1/2,-z'
'x+1/2,-y,-z'
'-x+1/2,y,z'
'-x,y+1/2,-z'
'x,-y+1/2,z'
loop_
_atom_site_label
_atom_site_type_symbol
_atom_site_fract_x
_atom_site_fract_y
_atom_site_fract_z
Ce1 Ce 0.2500 0.0078 0.2484
Tc1 Tc 0.2500 0.7500 0.9007
Ni1 Ni 0.2500 0.2500 0.6117
Ge1 Ge 0.0547 0.7500 0.5631
Ge2 Ge 0.0602 0.2500 0.9196
Ge3 Ge 0.2500 0.5026 0.7271
# DOS at the Fermi energy in states/eV/atom: 1.231
# Energy of formation in eV/atom: -0.3642

=====

No. 20
# Ce2ThNi2Ge2 (PBE, relaxed)
data_Ce2ThNi2Ge2
_chemical_formula_sum 'Ce6 Th3 Ni6 Ge6'
_cell_length_a 4.2077
_cell_length_b 4.2077
_cell_length_c 27.4918
_cell_angle_alpha 90.00
_cell_angle_beta 90.00
_cell_angle_gamma 120.00
_space_group_name_H-M_alt 'R -3 m'
_space_group_IT_number 166
_space_group_name_Hall '-R 3 2"'
loop_
_atom_site_label
_atom_site_type_symbol
_atom_site_fract_x
_atom_site_fract_y
_atom_site_fract_z
Ce1 Ce 0.0000 0.0000 0.1380
Th1 Th 0.0000 0.0000 0.0000
Ni1 Ni 0.0000 0.0000 0.4063
Ge1 Ge 0.0000 0.0000 0.2607
# DOS at the Fermi energy in states/eV/atom: 1.219
# Energy of formation in eV/atom: -0.6414